1.
Compound: Ba3HoB3O9
Source: Alexandria
Functional: SCAN
Structure: PBEsol geometry

Cell: 9.405 9.405 17.484 Å, 90.00 90.00 120.00°
Fractional positions:
Ba 0.000 0.680 0.631
Ba 0.346 0.346 0.871
Ba 0.680 0.680 0.131
Ba 0.320 0.000 0.131
Ba 0.000 0.000 0.282
Ba 0.000 0.346 0.371
Ba 0.667 0.333 0.225
Ba 0.333 0.667 0.725
Ba 0.667 0.333 0.725
Ba 0.346 0.000 0.371
Ba 0.654 0.654 0.371
Ba 0.000 0.000 0.782
Ba 0.333 0.667 0.225
Ba 0.680 0.000 0.631
Ba 0.654 0.000 0.871
Ba 0.320 0.320 0.631
Ba 0.000 0.320 0.131
Ba 0.000 0.654 0.871
O 0.661 0.513 0.586
O 0.527 0.853 0.431
O 0.667 0.852 0.251
O 0.326 0.473 0.431
O 0.185 0.333 0.251
O 0.000 0.180 0.916
O 0.519 0.000 0.252
O 0.326 0.853 0.931
O 0.820 0.000 0.416
O 0.513 0.852 0.086
O 0.519 0.519 0.752
O 0.148 0.487 0.586
O 0.815 0.667 0.751
O 0.194 0.000 0.570
O 0.148 0.661 0.086
O 0.853 0.527 0.431
O 0.667 0.815 0.751
O 0.806 0.806 0.570
O 0.487 0.339 0.086
O 0.852 0.513 0.086
O 0.180 0.000 0.916
O 0.333 0.148 0.751
O 0.674 0.147 0.431
O 0.661 0.148 0.086
O 0.481 0.481 0.252
O 0.000 0.820 0.416
O 0.148 0.333 0.751
O 0.674 0.527 0.931
O 0.148 0.815 0.251
O 0.185 0.852 0.751
O 0.194 0.194 0.070
O 0.852 0.339 0.586
O 0.000 0.194 0.570
O 0.853 0.326 0.931
O 0.473 0.326 0.431
O 0.473 0.147 0.931
O 0.339 0.487 0.086
O 0.000 0.519 0.252
O 0.000 0.806 0.070
O 0.339 0.852 0.586
O 0.527 0.674 0.931
O 0.481 0.000 0.752
O 0.487 0.148 0.586
O 0.852 0.185 0.751
O 0.815 0.148 0.251
O 0.513 0.661 0.586
O 0.000 0.481 0.752
O 0.180 0.180 0.416
O 0.820 0.820 0.916
O 0.806 0.000 0.070
O 0.333 0.185 0.251
O 0.147 0.473 0.931
O 0.147 0.674 0.431
O 0.852 0.667 0.251
Ho 0.667 0.333 0.003
Ho 0.333 0.667 0.503
Ho 0.000 0.000 0.498
Ho 0.333 0.667 0.003
Ho 0.000 0.000 0.998
Ho 0.667 0.333 0.503
B 0.667 0.667 0.752
B 0.326 0.000 0.925
B 0.326 0.326 0.425
B 0.659 0.659 0.581
B 0.667 0.000 0.252
B 0.000 0.659 0.081
B 0.000 0.667 0.252
B 0.000 0.326 0.925
B 0.341 0.000 0.581
B 0.000 0.333 0.752
B 0.659 0.000 0.081
B 0.000 0.341 0.581
B 0.000 0.674 0.425
B 0.674 0.674 0.925
B 0.333 0.000 0.752
B 0.341 0.341 0.081
B 0.333 0.333 0.252
B 0.674 0.000 0.425

Computed properties:
Raw total energy: -18.560 eV/atom
Total magnetization: 0.00 Bohr magnetons per cell
DOS(E_F): 0.000 states/eV per cell
SG: P6_3cm
Raw formation energy: -3.185 eV per atom

2.
Compound: Ba3HoB9O18
Source: Alexandria
Functional: SCAN
Structure: PBEsol geometry

Cell: 7.203 7.203 16.661 Å, 90.00 90.00 120.00°
Fractional positions:
B 0.836 0.552 0.083
B 0.284 0.836 0.917
B 0.448 0.284 0.083
B 0.164 0.448 0.917
B 0.448 0.284 0.417
B 0.284 0.836 0.583
B 0.379 0.495 0.750
B 0.836 0.552 0.417
B 0.716 0.164 0.417
B 0.505 0.885 0.750
B 0.495 0.115 0.250
B 0.552 0.716 0.917
B 0.164 0.448 0.583
B 0.885 0.379 0.250
B 0.621 0.505 0.250
B 0.115 0.621 0.750
B 0.552 0.716 0.583
B 0.716 0.164 0.083
O 0.122 0.619 0.582
O 0.246 0.244 0.417
O 0.619 0.497 0.418
O 0.246 0.244 0.083
O 0.381 0.503 0.582
O 0.997 0.754 0.083
O 0.084 0.415 0.250
O 0.585 0.669 0.250
O 0.619 0.497 0.082
O 0.878 0.381 0.082
O 0.497 0.878 0.582
O 0.503 0.122 0.082
O 0.503 0.122 0.418
O 0.167 0.456 0.750
O 0.833 0.544 0.250
O 0.544 0.710 0.750
O 0.997 0.754 0.417
O 0.415 0.331 0.750
O 0.669 0.084 0.750
O 0.754 0.756 0.583
O 0.456 0.290 0.250
O 0.122 0.619 0.918
O 0.756 0.003 0.083
O 0.003 0.246 0.917
O 0.381 0.503 0.918
O 0.497 0.878 0.918
O 0.290 0.833 0.750
O 0.878 0.381 0.418
O 0.244 0.997 0.917
O 0.710 0.167 0.250
O 0.754 0.756 0.917
O 0.331 0.916 0.250
O 0.003 0.246 0.583
O 0.756 0.003 0.417
O 0.916 0.585 0.750
O 0.244 0.997 0.583
Ba 0.667 0.333 0.629
Ba 0.667 0.333 0.871
Ba 0.333 0.667 0.129
Ba 0.000 0.000 0.250
Ba 0.000 0.000 0.750
Ba 0.333 0.667 0.371
Ho 0.000 0.000 0.000
Ho 0.000 0.000 0.500

Computed properties:
Raw total energy: -14.145 eV/atom
Total magnetization: 0.00 Bohr magnetons per cell
DOS(E_F): 0.000 states/eV per cell
SG: P6_3/m
Raw formation energy: -2.962 eV per atom

3.
Compound: Ba3BI
Source: Alexandria
Functional: SCAN
Structure: PBEsol geometry

Cell: 5.893 5.893 5.893 Å, 90.00 90.00 90.00°
Fractional positions:
Ba 0.000 0.000 0.500
Ba 0.500 0.000 0.000
Ba 0.000 0.500 0.000
I 0.500 0.500 0.500
B 0.000 0.000 0.000

Computed properties:
Raw total energy: -32.674 eV/atom
Total magnetization: 0.00 Bohr magnetons per cell
DOS(E_F): 5.621 states/eV per cell
SG: Pm-3m
Raw formation energy: -0.110 eV per atom

4.
Compound: BaBI2N
Source: Alexandria
Functional: SCAN
Structure: PBEsol geometry

Cell: 5.286 6.654 6.654 Å, 90.00 90.00 90.00°
Each line ends with the local moment (μB).
Fractional positions:
N 0.500 0.000 0.000  1.48
Ba 0.000 0.000 0.000  0.01
B 0.500 0.500 0.500  0.19
I 0.000 0.000 0.500  0.00
I 0.000 0.500 0.000  0.00

Computed properties:
Raw total energy: -24.924 eV/atom
Total magnetization: 2.74 Bohr magnetons per cell
DOS(E_F): 3.614 states/eV per cell
SG: P4/mmm
Raw formation energy: 1.027 eV per atom

5.
Compound: BaB2PI
Source: Alexandria
Functional: SCAN
Structure: PBEsol geometry

Cell: 5.234 5.234 5.495 Å, 90.00 90.00 90.00°
Each line ends with the local moment (μB).
Fractional positions:
P 0.000 0.000 0.500  0.55
B 0.500 0.000 0.000  0.11
B 0.000 0.500 0.000  0.11
Ba 0.000 0.000 0.000  0.12
I 0.500 0.500 0.500  0.25

Computed properties:
Raw total energy: -17.964 eV/atom
Total magnetization: 2.17 Bohr magnetons per cell
DOS(E_F): 4.166 states/eV per cell
SG: P4/mmm
Raw formation energy: 2.346 eV per atom

6.
Compound: Ba2ZrBI
Source: Alexandria
Functional: SCAN
Structure: PBEsol geometry

Cell: 5.242 6.339 6.339 Å, 90.00 90.00 90.00°
Fractional positions:
B 0.500 0.500 0.500
I 0.000 0.000 0.000
Ba 0.000 0.000 0.500
Ba 0.000 0.500 0.000
Zr 0.500 0.000 0.000

Computed properties:
Raw total energy: -29.695 eV/atom
Total magnetization: 0.00 Bohr magnetons per cell
DOS(E_F): 4.821 states/eV per cell
SG: P4/mmm
Raw formation energy: 1.099 eV per atom

7.
Compound: Ba2InBMo
Source: Alexandria
Functional: SCAN
Structure: PBEsol geometry

Cell: 4.156 5.905 5.905 Å, 90.00 90.00 90.00°
Each line ends with the local moment (μB).
Fractional positions:
In 0.500 0.500 0.500  0.06
B 0.500 0.000 0.000  -0.06
Ba 0.000 0.000 0.500  0.04
Ba 0.000 0.500 0.000  0.04
Mo 0.000 0.000 0.000  0.86

Computed properties:
Formation energy from the elements: 754.6 meV per atom
Raw total energy: -30.206 eV/atom
Total magnetization: 1.10 Bohr magnetons per cell
DOS(E_F): 4.964 states/eV per cell
SG: P4/mmm

8.
Compound: Ba2B2Ir
Source: Alexandria
Functional: SCAN
Structure: PBEsol geometry

Cell: 5.551 6.069 6.069 Å, 90.00 90.00 90.00°
Fractional positions:
B 0.000 0.777 0.723
B 0.000 0.723 0.223
B 0.000 0.223 0.277
B 0.000 0.277 0.777
Ba 0.500 0.181 0.681
Ba 0.500 0.681 0.819
Ba 0.500 0.319 0.181
Ba 0.500 0.819 0.319
Ir 0.000 0.000 0.000
Ir 0.000 0.500 0.500

Computed properties:
Formation energy from the elements: 484.7 meV per atom
Raw total energy: -32.527 eV/atom
Total magnetization: 0.00 Bohr magnetons per cell
DOS(E_F): 5.058 states/eV per cell
SG: P4/mbm